# AcCoNO | OQMD | GGA+U | relaxed
# * uncorrected energy: -0.246 hartree per atom
data_AcCoNO
_cell_length_a 3.8539
_cell_length_b 3.8539
_cell_length_c 7.9633
_cell_angle_alpha 90.00
_cell_angle_beta 90.00
_cell_angle_gamma 90.00
_space_group_name_H-M_alt 'P 1'
_space_group_IT_number 1
loop_
_space_group_symop_operation_xyz
'x,y,z'
loop_
_atom_site_label
_atom_site_type_symbol
_atom_site_fract_x
_atom_site_fract_y
_atom_site_fract_z
N1 N 0.5000 0.0000 0.4322
N2 N 0.0000 0.5000 0.5678
Co1 Co 0.0000 0.0000 0.5000
Co2 Co 0.5000 0.5000 0.5000
O1 O 0.5000 0.5000 0.0000
O2 O 0.0000 0.0000 0.0000
Ac1 Ac 0.5000 0.0000 0.8211
Ac2 Ac 0.0000 0.5000 0.1789